VASP calculation (GGA-PBEsol) on an optimized crystal structure of La2MnSnSb.

Raw formation energy ... 0.12 eV per atom

Cell and atoms, written as CIF:
```
data_La2MnSnSb
_cell_length_a 5.917
_cell_length_b 5.917
_cell_length_c 4.843
_cell_angle_alpha 90.00
_cell_angle_beta 90.00
_cell_angle_gamma 90.00
_symmetry_space_group_name_H-M 'P 4/m m m'
_symmetry_Int_Tables_number 123
_symmetry_space_group_name_Hall '-P 4 2'
loop_
_atom_site_label
_atom_site_type_symbol
_atom_site_fract_x
_atom_site_fract_y
_atom_site_fract_z
La1 La 0.000 0.500 0.000
Mn1 Mn 0.000 0.000 0.500
Sn1 Sn 0.000 0.000 0.000
Sb1 Sb 0.500 0.500 0.500
```

***

VASP calculation (GGA-PBEsol) on an optimized crystal structure of SrZnPb.

ΔH_f (0 K) ... -0.37 eV per atom

Cell and atoms, written as CIF:
```
data_SrZnPb
_cell_length_a 4.6226
_cell_length_b 4.6226
_cell_length_c 18.5370
_cell_angle_alpha 90.00
_cell_angle_beta 90.00
_cell_angle_gamma 120.00
_symmetry_space_group_name_H-M 'P 63/m m c'
_symmetry_Int_Tables_number 194
_symmetry_space_group_name_Hall '-P 6c 2c'
loop_
_atom_site_label
_atom_site_type_symbol
_atom_site_fract_x
_atom_site_fract_y
_atom_site_fract_z
Sr1 Sr 0.0000 0.0000 0.0000
Sr2 Sr 0.0000 0.0000 0.2500
Zn1 Zn 0.3333 0.6667 0.1316
Pb1 Pb 0.3333 0.6667 0.6202
```

***

VASP calculation (GGA-PBEsol) on an optimized crystal structure of Ta2CrRh.

ΔH_f (0 K) ... -0.06 eV per atom

Cell and atoms, written as CIF:
```
data_Ta2CrRh
_cell_length_a 3.225
_cell_length_b 4.506
_cell_length_c 8.275
_cell_angle_alpha 90.00
_cell_angle_beta 90.00
_cell_angle_gamma 90.00
_symmetry_space_group_name_H-M 'I m m m'
_symmetry_Int_Tables_number 71
_symmetry_space_group_name_Hall '-I 2 2'
loop_
_atom_site_label
_atom_site_type_symbol
_atom_site_fract_x
_atom_site_fract_y
_atom_site_fract_z
Ta1 Ta 0.000 0.000 0.244
Cr1 Cr 0.000 0.500 0.500
Rh1 Rh 0.000 0.500 0.000
```

***

VASP calculation (GGA-PBEsol) on an optimized crystal structure of RuPtW2.

E above lowest polymorph ... 50 meV per atom
ΔH_f (0 K) ... -0.12 eV per atom

Cell and atoms, written as CIF:
```
data_RuPtW2
_cell_length_a 2.759
_cell_length_b 4.443
_cell_length_c 4.814
_cell_angle_alpha 90.00
_cell_angle_beta 90.00
_cell_angle_gamma 90.00
_symmetry_space_group_name_H-M 'P m m 2'
_symmetry_Int_Tables_number 25
_symmetry_space_group_name_Hall 'P 2 -2'
loop_
_atom_site_label
_atom_site_type_symbol
_atom_site_fract_x
_atom_site_fract_y
_atom_site_fract_z
Ru1 Ru 0.000 0.000 0.000
Pt1 Pt 0.000 0.500 0.348
W1 W 0.500 0.000 0.507
W2 W 0.500 0.500 0.849
```

***

no.,volume (Å³/atom)
1,33.911
2,28.587
3,15.031
4,14.755